# LiPmPrCu (GGA-PBE, optimized geometry)
data_LiPmPrCu
_chemical_formula_sum 'Li4 Pm4 Pr4 Cu4'
_cell_length_a 7.3498
_cell_length_b 7.3498
_cell_length_c 7.3498
_cell_angle_alpha 90.00
_cell_angle_beta 90.00
_cell_angle_gamma 90.00
_symmetry_space_group_name_H-M 'F -4 3 m'
_symmetry_Int_Tables_number 216
_symmetry_space_group_name_Hall 'F -4 2 3'
loop_
_atom_site_label
_atom_site_type_symbol
_atom_site_fract_x
_atom_site_fract_y
_atom_site_fract_z
Li1 Li 0.0000 0.0000 0.0000
Pm1 Pm 0.2500 0.2500 0.2500
Pr1 Pr 0.2500 0.2500 0.7500
Cu1 Cu 0.0000 0.0000 0.5000
# - ΔH_f (0 K) (eV/atom) = 0.02
# - N(E_F) (states/eV/cell) = 20.19
# - spin magnetization (μB/atom) = 0.1051